1.
This record from Alexandria via LeMat-Bulk describes an optimized crystal structure of RbIn4Ag2Au. The functional is PBE.

Structure (POSCAR):
```
RbIn4Ag2Au
1.0
4.7342 0.0000 0.0000
2.3671 4.1000 0.0000
2.3671 1.3667 11.2778
In Ag Rb Au
4 2 1 1
Cartesian
4.7342 2.7333 2.5625 In
2.3671 1.3667 6.8038 In
7.1014 4.1000 4.4740 In
4.7342 2.7333 8.7153 In
2.3671 1.3667 3.3494 Ag
7.1014 4.1000 7.9284 Ag
0.0000 0.0000 0.0000 Rb
4.7342 2.7333 5.6389 Au
```

Output
space-group type = R-3m
E_tot = -21.5 eV/cell
total magnetization = 0.00 μB per formula unit



2.
This record from Alexandria via LeMat-Bulk describes an optimized crystal structure of ZrBeNb. The functional is PBE.

Structure (POSCAR):
```
ZrBeNb
1.0
-1.0101 2.2050 -1.5141
-0.4644 -1.7385 -2.2219
-4.9088 -1.3886 3.9521
Be Zr Nb
1 1 1
Cartesian
-2.6762 -0.1635 -1.1523 Be
-0.2327 -0.0476 0.0859 Zr
-3.4745 -0.7110 1.2825 Nb
```

Output
space-group type = I4mm
E_tot = -22.2 eV/cell
total magnetization = 0.00 μB per formula unit



3.
This record from Alexandria via LeMat-Bulk describes an optimized crystal structure of KHg4Ir. The functional is PBE.

Structure (POSCAR):
```
KHg4Ir
1.0
-2.9363 -4.7835 1.7316
-3.4796 0.2404 4.7261
-5.8342 -0.2541 -0.6324
K Hg Ir
1 4 1
Cartesian
0.0000 0.0000 0.0000 K
-6.0623 -4.1803 3.0495 Hg
-7.5028 -1.9287 1.8744 Hg
-6.3324 -1.6829 4.5381 Hg
-4.6027 -1.8024 2.1888 Hg
-9.1876 -3.5979 4.3691 Ir
```

Output
space-group type = F-43m
E_tot = -8.2 eV/cell
total magnetization = 0.00 μB per formula unit



4.
This record from Alexandria via LeMat-Bulk describes an optimized crystal structure of CdGaBi. The functional is PBE.

Structure (POSCAR):
```
CdGaBi
1.0
-3.4113 -1.1012 -3.3448
-2.0069 -4.4726 -0.0738
-4.6672 -0.6155 1.3695
Bi Cd Ga
1 1 1
Cartesian
0.0000 0.0000 0.0000 Bi
-5.0428 -3.0947 -1.0246 Cd
-2.5214 -1.5473 -0.5123 Ga
```

Output
space-group type = F-43m
E_tot = -7.5 eV/cell
total magnetization = 0.00 μB per formula unit